[1]
K2Zr2AlTe6: relaxed, GGA-PBE.

Calculated values
- E_form (uncorrected) (meV/atom) = -851
- SG = C2/m

Cell and atoms, written as POSCAR:
```
K2Zr2AlTe6
1.0
7.275 -0.061 0.032
-3.649 6.294 0.032
-1.328 -2.283 8.385
Te K Zr Al
6 2 2 1
Direct
0.926 0.605 0.304
0.074 0.395 0.696
0.258 0.258 0.313
0.605 0.926 0.304
0.742 0.742 0.687
0.395 0.074 0.696
0.833 0.167 0.000
0.167 0.833 0.000
0.672 0.328 0.500
0.328 0.672 0.500
0.000 0.000 0.500
```



[2]
K2TiAl: relaxed, GGA-PBE.

Calculated values
- calculated formation energy (meV per atom) = 885
- SG = I-42d

Cell and atoms, written as POSCAR:
```
K2TiAl
1.0
12.531 0.000 0.000
0.000 12.531 0.000
6.266 6.266 2.631
K Ti Al
4 2 2
Direct
0.476 0.125 0.250
0.274 0.625 0.250
0.375 0.524 0.750
0.875 0.726 0.750
0.000 0.000 0.000
0.750 0.250 0.500
0.250 0.750 0.500
0.500 0.500 0.000
```



[3]
KTiAl3: relaxed, GGA-PBE.

Calculated values
- calculated formation energy (meV per atom) = 488
- SG = Pm-3m

Cell and atoms, written as POSCAR:
```
KTiAl3
1.0
-1.731 -3.916 -2.921
-1.049 -2.728 4.280
-4.771 2.021 0.119
Al K Ti
3 1 1
Direct
0.500 0.000 0.000
0.000 0.000 0.500
0.000 0.500 0.000
0.500 0.500 0.500
0.000 0.000 0.000
```



Going through the records in order, we get DOS(E_F) values of 3.18; 10.18; 4.39 states/eV per cell.
Going through the records in order, we get volume values of 34.83; 51.64; 27.85 A^3/atom.
Going through the records in order, we get ρ values of 4.56; 1.23; 2.00 Mg/m³.